*a*
RbBrF3 | PBE-GGA | optimized geometry

POSCAR file:
```
RbBrF3
1.0
-4.5405 -0.5679 -0.5598
0.2492 -4.0847 2.1226
-0.7575 2.0603 4.0538
Br Rb F
1 1 3
Cartesian
0.0000 0.0000 0.0000
-2.5244 -1.2962 2.8083
0.1246 -2.0424 1.0613
-0.3788 1.0301 2.0269
-2.2703 -0.2839 -0.2799
```

Results
Volume: 98 Å³ per cell
Space-group type: No. 221

*b*
RbBrF3 | PBE-GGA | optimized geometry

POSCAR file:
```
RbBrF3
1.0
-0.7542 -5.4459 -0.6549
-0.8839 -0.9775 5.3776
-5.5120 0.3561 -0.3822
Rb Br F
1 1 3
Cartesian
-1.6319 -1.3848 0.9907
-6.3157 -5.3593 3.8340
-1.4631 -4.0508 0.2378
-1.5389 -1.4388 3.7640
-4.2443 -0.6593 0.3971
```

Results
Volume: 168 Å³ per cell
Space-group type: No. 160

*c*
RbBrF3 | PBE-GGA | optimized geometry

POSCAR file:
```
RbBrF3
1.0
6.8832 0.0000 0.0000
0.0000 6.8832 0.0000
3.4416 3.4416 4.8654
Br Rb F
2 2 6
Cartesian
3.4416 3.4416 0.0000
0.0000 0.0000 0.0000
6.8832 3.4416 2.4327
3.4416 6.8832 2.4327
3.4416 3.4416 2.8690
6.8832 6.8832 1.9964
2.0658 2.0658 0.0000
4.8174 4.8174 0.0000
4.8174 2.0658 0.0000
2.0658 4.8174 0.0000
```

Results
Volume: 231 Å³ per cell
Space-group type: No. 139

Last place for stability: *b*